Entry from the Alexandria database: crystalline AcNdPb2 at its relaxed geometry (PBE).

a = 5.3551 Å, b = 5.3551 Å, c = 17.0058 Å
α = 90.00°, β = 90.00°, γ = 120.00°
Space group R-3m (No. 166, hexagonal axes)
One atom of each set of equivalent atoms:
Ac 0.0000 0.0000 0.0000
Nd 0.0000 0.0000 0.5000
Pb 0.0000 0.0000 0.2425

Summary:
E_form	-0.461	eV per atom
total magnetization	0.0	μB/f.u.

***

Entry from the Alexandria database: crystalline AcNdPd5Pb2 at its relaxed geometry (PBE).

a = 4.4369 Å, b = 4.4369 Å, c = 10.3392 Å
α = 90.00°, β = 90.00°, γ = 90.00°
Space group P4/mmm (No. 123)
One atom of each set of equivalent atoms:
Ac 0.0000 0.0000 0.0000
Nd 0.0000 0.0000 0.5000
Pd 0.0000 0.5000 0.2029
Pd 0.5000 0.5000 0.0000
Pb 0.5000 0.5000 0.3550

Summary:
E_form	-0.500	eV per atom
total magnetization	0.0	μB/f.u.

***

Entry from the Alexandria database: crystalline AcPmNdPb at its relaxed geometry (PBE).

a = 8.0911 Å, b = 8.0911 Å, c = 8.0911 Å
α = 90.00°, β = 90.00°, γ = 90.00°
Space group F-43m (No. 216)
One atom of each set of equivalent atoms:
Ac 0.0000 0.0000 0.0000
Pm 0.2500 0.2500 0.7500
Nd 0.2500 0.2500 0.2500
Pb 0.0000 0.0000 0.5000

Summary:
E_form	-0.123	eV per atom
total magnetization	0.0	μB/f.u.

***

Entry from the Alexandria database: crystalline AcPrNdPb at its relaxed geometry (PBE).

a = 8.1359 Å, b = 8.1359 Å, c = 8.1359 Å
α = 90.00°, β = 90.00°, γ = 90.00°
Space group F-43m (No. 216)
One atom of each set of equivalent atoms:
Ac 0.0000 0.0000 0.0000
Pr 0.2500 0.2500 0.2500
Nd 0.2500 0.2500 0.7500
Pb 0.0000 0.0000 0.5000

Summary:
E_form	-0.132	eV per atom
total magnetization	0.0	μB/f.u.

***

Entry from the Alexandria database: crystalline AcNdPtPb at its relaxed geometry (PBE).

a = 7.7755 Å, b = 7.7755 Å, c = 7.7755 Å
α = 90.00°, β = 90.00°, γ = 90.00°
Space group F-43m (No. 216)
One atom of each set of equivalent atoms:
Ac 0.0000 0.0000 0.0000
Nd 0.0000 0.0000 0.5000
Pt 0.2500 0.2500 0.2500
Pb 0.2500 0.2500 0.7500

Summary:
E_form	-0.638	eV per atom
total magnetization	0.0	μB/f.u.

***

Entry from the Alexandria database: crystalline AcNdPuPb at its relaxed geometry (PBE).

a = 8.0273 Å, b = 8.0273 Å, c = 8.0273 Å
α = 90.00°, β = 90.00°, γ = 90.00°
Space group F-43m (No. 216)
One atom of each set of equivalent atoms:
Ac 0.0000 0.0000 0.0000
Nd 0.2500 0.2500 0.7500
Pu 0.2500 0.2500 0.2500
Pb 0.0000 0.0000 0.5000

Summary:
E_form	0.041	eV per atom
total magnetization	7.1	μB/f.u.

***

> Which of these has the highest total magnetization?

AcNdPuPb

***

> What is the E_form in the second record?

-0.500 eV per atom

***

> Number 4 is which compound?

AcPrNdPb

***

> What is the formula in the sixth record?

AcNdPuPb